The following is a DFT calculation (PBE) of a relaxed structure of Sc3CuSn.

abc: 4.870 7.228 7.228
angles: 120.00 90.00 90.00
Atoms (fractional coordinates):
Sc: 0.250 0.813 0.626
Sc: 0.750 0.626 0.813
Sn: 0.250 0.333 0.667
Sc: 0.750 0.187 0.813
Sn: 0.750 0.667 0.333
Cu: 0.500 0.000 0.000
Sc: 0.250 0.813 0.187
Sc: 0.750 0.187 0.374
Cu: 0.000 0.000 0.000
Sc: 0.250 0.374 0.187

Properties
N(E_F): 9.90 states/eV/cell
DFT total energy: -0.209 Ha/atom
Polymorph energy (0 for the lowest one): 0.000 eV per atom
Space-group type: P6_3/mmc (194)